Entry 1:
12
Lattice="4.214 0.000 -0.001 0.000 17.900 0.000 -1.014 0.000 4.097" Properties=species:S:1:pos:R:3 comment="Si2Se PBE relaxed" space_group="C2 (5)" de_polymorph_mev_per_atom=171 formation_energy_uncorrected_ev_per_atom=0.003 pbc="T T T"
Si 2.622 14.548 1.444
Si 0.578 14.548 2.651
Si 2.115 5.598 3.492
Si 1.085 5.598 0.603
Si 0.323 7.749 1.199
Si 2.877 7.749 2.896
Si -0.184 16.700 3.247
Si 3.384 16.700 0.848
Se 1.600 9.492 2.048
Se 2.107 0.542 -0.001
Se 1.600 3.856 2.048
Se 2.107 12.806 -0.001

Entry 2:
7
Lattice="-1.688 3.302 3.711 -0.714 -4.040 3.270 4.771 0.296 5.615" Properties=species:S:1:pos:R:3 comment="Ti2Ag4Se PBE relaxed" space_group="I4/mmm (139)" formation_energy_uncorrected_ev_per_atom=0.711 pbc="T T T"
Se 0.000 0.000 0.000
Ag 0.077 -0.461 7.863
Ag 2.292 0.020 4.733
Ag -0.357 -2.020 1.635
Ag -0.844 1.651 1.855
Ti 2.576 -0.183 8.752
Ti -0.207 -0.258 3.844

Entry 3:
5
Lattice="4.241 0.000 0.000 0.000 4.241 0.000 0.000 0.000 4.241" Properties=species:S:1:pos:R:3 comment="NaSiNi3 PBE relaxed" space_group="Pm-3m (221)" de_polymorph_mev_per_atom=1325 formation_energy_uncorrected_ev_per_atom=1.573 pbc="T T T"
Ni 0.000 2.121 0.000
Ni 0.000 0.000 2.121
Ni 2.121 0.000 0.000
Si 2.121 2.121 2.121
Na 0.000 0.000 0.000

What density values result from the calculations? In sequence: 2.905 5.739 4.944 g/cm³.